[1]
Crystalline HfInPb at its relaxed geometry, computed with PBE-GGA.

Values from the calculation:
Its energy relative to the elements is 0.26 eV/atom. For the electronic total energy, the calculation gives -0.382 Ry/atom.

Cell lengths 5.2217, 5.2217, 3.1552 Å; angles 90.00, 90.00, 120.00 degrees
Last column: nearest neighbours and their distance in Å.
Space group P3m1 (No. 156)
Asymmetric unit:
Hf (0.0000, 0.0000, 0.0000) [1 per cell]  2 Hf 3.16, 3 Pb 3.22, 3 In 3.23
In (0.3333, 0.6667, 0.6345) [1 per cell]  3 Pb 3.14, 2 In 3.16, 3 Hf 3.23
Pb (0.6667, 0.3333, 0.3610) [1 per cell]  3 In 3.14, 2 Pb 3.16, 3 Hf 3.22

[2]
Crystalline LuHfGaTc at its relaxed geometry, computed with PBE-GGA.

Values from the calculation:
Its energy relative to the elements is -0.36 eV/atom. For the electronic total energy, the calculation gives -0.538 Ry/atom.

Cell lengths 6.7141, 6.7141, 6.7141 Å; angles 90.00, 90.00, 90.00 degrees
Last column: nearest neighbours and their distance in Å.
Space group F-43m (No. 216)
Asymmetric unit:
Lu (0.0000, 0.0000, 0.0000) [4 per cell]  4 Tc 2.91, 4 Ga 2.91
Hf (0.0000, 0.0000, 0.5000) [4 per cell]  4 Ga 2.91, 4 Tc 2.91
Ga (0.2500, 0.2500, 0.7500) [4 per cell]  4 Lu 2.91, 4 Hf 2.91
Tc (0.2500, 0.2500, 0.2500) [4 per cell]  4 Hf 2.91, 4 Lu 2.91

[3]
Crystalline LaNi3 at its relaxed geometry, computed with PBE-GGA.

Values from the calculation:
Its energy relative to the elements is -0.33 eV/atom. For the electronic total energy, the calculation gives -0.433 Ry/atom.

Cell lengths 5.0508, 5.0508, 25.1058 Å; angles 90.00, 90.00, 120.00 degrees
Last column: nearest neighbours and their distance in Å.
Space group R-3m (No. 166, hexagonal axes)
Asymmetric unit:
La (0.0000, 0.0000, 0.0000) [3 per cell]  18 Ni 2.92-3.24
La (0.0000, 0.0000, 0.1382) [6 per cell]  12 Ni 2.91-3.23, 3 La 3.25
Ni (0.0000, 0.0000, 0.3325) [6 per cell]  6 Ni 2.48-2.51
Ni (0.0000, 0.0000, 0.5000) [3 per cell]  6 Ni 2.60
Ni (0.0012, 0.5006, 0.0806) [18 per cell]  7 Ni 2.48-2.60

[4]
Crystalline Li3HoCu8 at its relaxed geometry, computed with PBE-GGA.

Values from the calculation:
Its energy relative to the elements is -0.12 eV/atom. For the electronic total energy, the calculation gives -0.273 Ry/atom.

Cell lengths 4.9861, 4.9861, 24.3074 Å; angles 90.00, 90.00, 120.00 degrees
Last column: nearest neighbours and their distance in Å.
Space group R3m (No. 160, hexagonal axes)
Asymmetric unit:
Li (0.0000, 0.0000, 0.0000) [3 per cell]  4 Li 2.81-2.99, 12 Cu 2.84-2.93
Li (0.0000, 0.0000, 0.1154) [3 per cell]  9 Cu 2.80-2.98, 1 Li 2.81
Li (0.0000, 0.0000, 0.6327) [3 per cell]  12 Cu 2.77-2.97, 3 Li 2.99
Ho (0.0000, 0.0000, 0.5018) [3 per cell]  12 Cu 2.93-2.94, 4 Li 3.15-3.18
Cu (0.0000, 0.0000, 0.3148) [3 per cell]  6 Cu 2.46
Cu (0.0000, 0.0000, 0.8138) [3 per cell]  6 Cu 2.49-2.53
Cu (0.9996, 0.4998, 0.5661) [9 per cell]  6 Cu 2.46-2.53
Cu (0.1673, 0.3347, 0.3966) [9 per cell]  6 Cu 2.46-2.50

[5]
Crystalline CaB5C at its relaxed geometry, computed with PBE-GGA.

Values from the calculation:
Its energy relative to the elements is 0.28 eV/atom. For the electronic total energy, the calculation gives -0.448 Ry/atom.

Cell lengths 3.0067, 5.1820, 9.4595 Å; angles 90.20, 98.75, 102.71 degrees
Last column: nearest neighbours and their distance in Å.
Space group P-1 (No. 2)
Asymmetric unit:
Ca (0.0000, 0.0000, 0.0000) [1 per cell]  12 B 2.65-2.95, 2 C 2.78
Ca (0.5000, 0.5000, 0.5000) [1 per cell]  10 B 2.68-2.99, 2 C 2.74
B (0.0079, 0.2305, 0.7059) [2 per cell]  4 B 1.71-1.86, 1 C 1.74
B (0.2204, 0.9757, 0.4524) [2 per cell]  1 C 1.66, 3 B 1.75-1.79
B (0.2524, 0.9338, 0.7477) [2 per cell]  2 C 1.53-1.58
B (0.2877, 0.5530, 0.0380) [2 per cell]  3 B 1.73-1.74
B (0.4381, 0.7144, 0.2044) [2 per cell]  4 B 1.71-1.87
C (0.2719, 0.1012, 0.2924) [2 per cell]  3 B 1.53-1.66

[6]
Crystalline ThTc2 at its relaxed geometry, computed with PBE-GGA.

Values from the calculation:
Its energy relative to the elements is 0.09 eV/atom. For the electronic total energy, the calculation gives -0.683 Ry/atom.

Cell lengths 3.1369, 3.1369, 12.0453 Å; angles 90.00, 90.00, 90.00 degrees
Last column: nearest neighbours and their distance in Å.
Space group I4/mmm (No. 139)
Asymmetric unit:
Th (0.0000, 0.0000, 0.0000) [2 per cell]  4 Th 3.14, 8 Tc 3.24
Tc (0.0000, 0.0000, 0.3044) [4 per cell]  4 Tc 2.58

[7]
Crystalline Zn2SbW at its relaxed geometry, computed with PBE-GGA.

Values from the calculation:
As for the uncorrected formation energy: 0.5747 eV/atom. For the electronic total energy, the calculation gives -0.318 Ry/atom.

Cell lengths 3.0438, 4.6926, 4.9199 Å; angles 90.00, 90.00, 90.00 degrees
Last column: nearest neighbours and their distance in Å.
Space group Pmmm (No. 47)
Asymmetric unit:
Zn (0.0000, 0.0000, 0.0000) [1 per cell]  6 Zn 2.80-3.04, 4 W 2.89
Zn (0.5000, 0.5000, 0.0000) [1 per cell]  6 Zn 2.80-3.04, 4 Sb 2.89
Sb (0.0000, 0.5000, 0.5000) [1 per cell]  4 W 2.80, 4 Zn 2.89, 2 Sb 3.04
W (0.5000, 0.0000, 0.5000) [1 per cell]  4 Sb 2.80, 4 Zn 2.89, 2 W 3.04

[8]
Crystalline Nd4AgRh at its relaxed geometry, computed with PBE-GGA.

Values from the calculation:
Its energy relative to the elements is -0.30 eV/atom. For the electronic total energy, the calculation gives -0.381 Ry/atom.

Cell lengths 8.9043, 13.8950, 6.2096 Å; angles 90.00, 116.31, 90.00 degrees
Last column: nearest neighbours and their distance in Å.
Space group C2/c (No. 15)
Asymmetric unit:
Nd (0.1161, 0.1856, 0.0796) [8 per cell]  2 Rh 3.10-3.20, 2 Ag 3.22-3.25, 1 Nd 3.46
Nd (0.2181, 0.4295, 0.3264) [8 per cell]  2 Rh 2.87-2.94, 1 Ag 3.21
Ag (0.0000, 0.3788, 0.7500) [4 per cell]  8 Nd 3.21-3.30
Rh (0.0000, 0.0030, 0.2500) [4 per cell]  8 Nd 2.87-3.20, 2 Rh 3.11

[9]
Crystalline Zn2AgPd7 at its relaxed geometry, computed with PBE-GGA.

Values from the calculation:
Its energy relative to the elements is 0.23 eV/atom. For the electronic total energy, the calculation gives -0.290 Ry/atom.

Cell lengths 7.2264, 12.6003, 4.2636 Å; angles 90.00, 90.00, 90.00 degrees
Last column: nearest neighbours and their distance in Å.
Space group Cmmm (No. 65)
Asymmetric unit:
Zn (0.0000, 0.1977, 0.0000) [4 per cell]  5 Pd 2.42-2.50
Ag (0.0000, 0.5000, 0.5000) [2 per cell]  10 Pd 2.66-2.90
Pd (0.0000, 0.0000, 0.0000) [2 per cell]  2 Zn 2.49, 4 Pd 2.68
Pd (0.0000, 0.2892, 0.5000) [4 per cell]  2 Zn 2.42, 1 Ag 2.66
Pd (0.1861, 0.3865, 0.0000) [8 per cell]  2 Zn 2.50-2.73, 4 Pd 2.68-2.80

[10]
Crystalline ZrAs4 at its relaxed geometry, computed with PBE-GGA.

Values from the calculation:
Its energy relative to the elements is -0.04 eV/atom. For the electronic total energy, the calculation gives -0.402 Ry/atom.

Cell lengths 6.2125, 6.2125, 6.2125 Å; angles 90.00, 90.00, 90.00 degrees
Last column: nearest neighbours and their distance in Å.
Space group Im-3m (No. 229)
Asymmetric unit:
Zr (0.0000, 0.0000, 0.0000) [2 per cell]  8 As 2.69
As (0.2500, 0.2500, 0.2500) [8 per cell]  2 Zr 2.69

[11]
Crystalline Tb5Pm4Sc at its relaxed geometry, computed with PBE-GGA.

Values from the calculation:
Its energy relative to the elements is 0.03 eV/atom. For the electronic total energy, the calculation gives -0.354 Ry/atom.

Cell lengths 25.3241, 3.5835, 7.1443 Å; angles 90.00, 98.09, 90.00 degrees
Last column: nearest neighbours and their distance in Å.
Space group C2/m (No. 12)
Asymmetric unit:
Tb (0.0000, 0.0000, 0.0000) [2 per cell]  8 Pm 3.54, 2 Sc 3.57, 2 Tb 3.58
Tb (0.1994, 0.0000, 0.0993) [4 per cell]  8 Tb 3.57-3.58, 4 Pm 3.61
Tb (0.2003, 0.0000, 0.6005) [4 per cell]  8 Tb 3.55-3.58, 4 Pm 3.59
Pm (0.0978, 0.5000, 0.3034) [4 per cell]  2 Sc 3.51, 4 Pm 3.51-3.63, 6 Tb 3.54-3.61
Pm (0.0977, 0.5000, 0.7946) [4 per cell]  2 Sc 3.51, 4 Pm 3.51-3.63, 6 Tb 3.54-3.61
Sc (0.0000, 0.0000, 0.5000) [2 per cell]  8 Pm 3.51, 2 Tb 3.57, 2 Sc 3.58

[12]
Crystalline Zr2CuMo at its relaxed geometry, computed with PBE-GGA.

Values from the calculation:
Its energy relative to the elements is -0.08 eV/atom. For the electronic total energy, the calculation gives -0.594 Ry/atom.

Cell lengths 6.6328, 6.6328, 6.6328 Å; angles 90.00, 90.00, 90.00 degrees
Last column: nearest neighbours and their distance in Å.
Space group Fm-3m (No. 225)
Asymmetric unit:
Zr (0.2500, 0.2500, 0.2500) [8 per cell]  4 Mo 2.87, 4 Cu 2.87
Cu (0.0000, 0.0000, 0.0000) [4 per cell]  8 Zr 2.87
Mo (0.0000, 0.0000, 0.5000) [4 per cell]  8 Zr 2.87